No. 1
A plane-wave DFT calculation with PBE was carried out for crystalline SbOs2Rh at its relaxed geometry.

Output
Formation energy from raw total energies = 940 meV per atom
Electronic total energy = -7.543 eV per atom
ρ = 15.0 g cm⁻³

abc: 2.828 4.896 9.665
angles: 90.00 90.00 90.00
Space group Cmmm (No. 65)
Inequivalent atoms, fractional coordinates:
Sb  0.000  0.000  0.000 x2
Os  0.000  0.500  0.266 x4
Rh  0.000  0.000  0.500 x2


No. 2
A plane-wave DFT calculation with PBE was carried out for crystalline SbOs2Rh at its relaxed geometry.

Output
Formation energy from raw total energies = 338 meV per atom
Electronic total energy = -8.146 eV per atom
ρ = 15.6 g cm⁻³

abc: 2.919 2.919 7.554
angles: 90.00 90.00 90.00
Space group P4mm (No. 99)
Inequivalent atoms, fractional coordinates:
Sb  0.000  0.000  0.000 x1
Os  0.000  0.000  0.493 x1
Os  0.500  0.500  0.277 x1
Rh  0.500  0.500  0.750 x1


No. 3
A plane-wave DFT calculation with PBE was carried out for crystalline Sb2OsRh at its relaxed geometry.

Output
Energy above the most stable polymorph in this dataset = 0.180 eV/atom
Formation energy from raw total energies = 288 meV per atom
Electronic total energy = -6.418 eV per atom
ρ = 12.4 g cm⁻³

abc: 6.408 6.808 3.291
angles: 90.00 90.00 90.00
Space group Cmmm (No. 65)
Inequivalent atoms, fractional coordinates:
Sb  0.250  0.250  0.000 x4
Os  0.000  0.000  0.500 x2
Rh  0.000  0.500  0.500 x2


No. 4
A plane-wave DFT calculation with PBE was carried out for crystalline SbOs2Rh at its relaxed geometry.

Output
Formation energy from raw total energies = 526 meV per atom
Electronic total energy = -7.958 eV per atom
ρ = 15.7 g cm⁻³

abc: 2.873 4.644 4.805
angles: 90.00 90.00 90.00
Space group Pmmm (No. 47)
Inequivalent atoms, fractional coordinates:
Sb  0.000  0.000  0.000 x1
Os  0.000  0.500  0.500 x1
Os  0.500  0.000  0.500 x1
Rh  0.500  0.500  0.000 x1


No. 5
A plane-wave DFT calculation with PBE was carried out for crystalline Sb3OsRh at its relaxed geometry.

Output
Energy above the most stable polymorph in this dataset = 0.000 eV/atom
Formation energy from raw total energies = 962 meV per atom
Electronic total energy = -5.227 eV per atom
ρ = 8.4 g cm⁻³

abc: 5.074 5.074 5.074
angles: 90.00 90.00 90.00
Space group Pm-3m (No. 221)
Inequivalent atoms, fractional coordinates:
Sb  0.000  0.000  0.500 x3
Os  0.000  0.000  0.000 x1
Rh  0.500  0.500  0.500 x1


No. 6
A plane-wave DFT calculation with PBE was carried out for crystalline Sb4OsRh at its relaxed geometry.

Output
Formation energy from raw total energies = 1360 meV per atom
Electronic total energy = -4.485 eV per atom
ρ = 9.1 g cm⁻³

abc: 8.295 8.295 8.295
angles: 90.00 90.00 90.00
Space group F-43m (No. 216)
Inequivalent atoms, fractional coordinates:
Sb  0.125  0.125  0.125 x16
Os  0.250  0.250  0.750 x4
Rh  0.000  0.000  0.500 x4


No. 7
A plane-wave DFT calculation with PBE was carried out for crystalline Sb2OsRh at its relaxed geometry.

Output
Energy above the most stable polymorph in this dataset = 0.603 eV/atom
Formation energy from raw total energies = 712 meV per atom
Electronic total energy = -5.995 eV per atom
ρ = 11.9 g cm⁻³

abc: 6.698 6.698 6.698
angles: 90.00 90.00 90.00
Space group F-43m (No. 216)
Inequivalent atoms, fractional coordinates:
Sb  0.000  0.000  0.000 x4
Sb  0.250  0.250  0.250 x4
Os  0.000  0.000  0.500 x4
Rh  0.250  0.250  0.750 x4


No. 8
A plane-wave DFT calculation with PBE was carried out for crystalline Sb2OsRh at its relaxed geometry.

Output
Energy above the most stable polymorph in this dataset = 0.113 eV/atom
Formation energy from raw total energies = 222 meV per atom
Electronic total energy = -6.485 eV per atom
ρ = 12.1 g cm⁻³

abc: 4.470 3.243 5.499
angles: 90.00 113.03 90.00
Space group P2/m (No. 10)
Inequivalent atoms, fractional coordinates:
Sb  0.000  0.000  0.000 x1
Sb  0.500  0.500  0.500 x1
Os  0.000  0.000  0.500 x1
Rh  0.500  0.500  0.000 x1


No. 9
A plane-wave DFT calculation with PBE was carried out for crystalline SbOsRh2 at its relaxed geometry.

Output
Formation energy from raw total energies = 228 meV per atom
Electronic total energy = -7.286 eV per atom
ρ = 13.6 g cm⁻³

abc: 6.323 6.323 6.323
angles: 90.00 90.00 90.00
Space group F-43m (No. 216)
Inequivalent atoms, fractional coordinates:
Sb  0.000  0.000  0.000 x4
Os  0.250  0.250  0.250 x4
Rh  0.000  0.000  0.500 x4
Rh  0.250  0.250  0.750 x4


No. 10
A plane-wave DFT calculation with PBE was carried out for crystalline SbOsRh2 at its relaxed geometry.

Output
Formation energy from raw total energies = 107 meV per atom
Electronic total energy = -7.407 eV per atom
ρ = 13.8 g cm⁻³

abc: 4.076 4.076 7.510
angles: 90.00 90.00 90.00
Space group I-4m2 (No. 119)
Inequivalent atoms, fractional coordinates:
Sb  0.000  0.000  0.000 x2
Os  0.000  0.500  0.750 x2
Rh  0.000  0.000  0.500 x2
Rh  0.000  0.500  0.250 x2


No. 11
A plane-wave DFT calculation with PBE was carried out for crystalline SbOs2Rh at its relaxed geometry.

Output
Formation energy from raw total energies = 772 meV per atom
Electronic total energy = -7.711 eV per atom
ρ = 15.0 g cm⁻³

abc: 2.849 4.985 9.435
angles: 90.00 90.00 90.00
Space group Cmm2 (No. 35)
Inequivalent atoms, fractional coordinates:
Sb  0.000  0.000  0.000 x2
Os  0.000  0.000  0.500 x2
Os  0.000  0.500  0.273 x2
Rh  0.000  0.500  0.743 x2


No. 12
A plane-wave DFT calculation with PBE was carried out for crystalline SbOs2Rh at its relaxed geometry.

Output
Formation energy from raw total energies = 381 meV per atom
Electronic total energy = -8.103 eV per atom
ρ = 15.8 g cm⁻³

abc: 9.134 2.888 4.973
angles: 90.00 104.02 90.00
Space group C2/m (No. 12)
Inequivalent atoms, fractional coordinates:
Sb  0.000  0.000  0.000 x2
Os  0.245  0.500  0.274 x4
Rh  0.000  0.500  0.500 x2